Below is crystalline SmThSbPb at its relaxed geometry, with properties calculated at the PBE level.

Properties
The value obtained for the uncorrected formation energy is -0.7148 eV/atom.

The structure in POSCAR format:
```
SmThSbPb
1.0
4.531 0.000 0.000
-2.266 3.924 0.000
0.000 0.000 22.087
Sm Th Sb Pb
3 3 3 3
direct
0.000 0.000 0.000
0.333 0.667 0.667
0.667 0.333 0.333
0.000 0.000 0.499
0.333 0.667 0.166
0.667 0.333 0.833
0.000 0.000 0.749
0.333 0.667 0.416
0.667 0.333 0.082
0.000 0.000 0.251
0.333 0.667 0.917
0.667 0.333 0.584
```